1.
# PBE Ho3Ga5O12, relaxed
# DFT total energy: -6.979 eV per atom
# size of the total moment: 0.0 Bohr magnetons per cell
# energy relative to the elements, uncorrected: -2561 meV per atom
data_Ho3Ga5O12
_chemical_formula_sum 'Ho24 Ga40 O96'
_cell_length_a 12.379
_cell_length_b 12.379
_cell_length_c 12.379
_cell_angle_alpha 90.00
_cell_angle_beta 90.00
_cell_angle_gamma 90.00
_space_group_name_H-M_alt 'I a -3 d'
_space_group_IT_number 230
_space_group_name_Hall '-I 4bd 2c 3'
loop_
_atom_site_label
_atom_site_type_symbol
_atom_site_fract_x
_atom_site_fract_y
_atom_site_fract_z
_atom_site_occupancy
Ho1 Ho 0.000 0.250 0.125 1
Ga1 Ga 0.000 0.000 0.000 1
Ga2 Ga 0.000 0.250 0.375 1
O1 O 0.027 0.056 0.651 1

=====

2.
# PBE PrDyY2Tm2, relaxed
# DFT total energy: -4.937 eV per atom
# size of the total moment: 0.0 Bohr magnetons per cell
data_PrDyY2Tm2
_chemical_formula_sum 'Pr2 Dy2 Y4 Tm4'
_cell_length_a 6.489
_cell_length_b 17.897
_cell_length_c 3.414
_cell_angle_alpha 90.00
_cell_angle_beta 90.00
_cell_angle_gamma 90.00
_space_group_name_H-M_alt 'P n n m'
_space_group_IT_number 58
_space_group_name_Hall '-P 2 2n'
loop_
_atom_site_label
_atom_site_type_symbol
_atom_site_fract_x
_atom_site_fract_y
_atom_site_fract_z
_atom_site_occupancy
Pr1 Pr 0.000 0.000 0.000 1
Dy1 Dy 0.000 0.500 0.000 1
Y1 Y 0.218 0.189 0.000 1
Tm1 Tm 0.216 0.353 0.500 1

=====

3.
# PBE LaSmGa, relaxed
# DFT total energy: -4.514 eV per atom
# distance to the lowest polymorph of the same formula: 122 meV per atom
# size of the total moment: 0.0 Bohr magnetons per cell
data_LaSmGa
_chemical_formula_sum 'La1 Sm1 Ga1'
_cell_length_a 5.0087
_cell_length_b 5.0087
_cell_length_c 3.8764
_cell_angle_alpha 90.00
_cell_angle_beta 90.00
_cell_angle_gamma 120.00
_space_group_name_H-M_alt 'P 3 m 1'
_space_group_IT_number 156
_space_group_name_Hall 'P 3 -2"'
loop_
_atom_site_label
_atom_site_type_symbol
_atom_site_fract_x
_atom_site_fract_y
_atom_site_fract_z
_atom_site_occupancy
La1 La 0.0000 0.0000 0.0000 1
Sm1 Sm 0.6667 0.3333 0.5929 1
Ga1 Ga 0.3333 0.6667 0.3522 1